[1]
## Sc2AlCo4Ge3 (GGA-PBE)

Data for crystalline Sc2AlCo4Ge3 at its relaxed geometry.

Values from the calculation:
- M_tot (μB/f.u.) = 0.005
- energy of formation from the pure elements (eV/atom) = -0.4955

Cell lengths 3.824, 3.824, 10.148 Å; angles 90.00, 90.00, 90.00 degrees
Element x y z (fractional)
Sc1 0.500 0.000 0.247
Sc2 0.000 0.500 0.753
Ge1 0.000 0.000 0.500
Ge2 0.000 0.500 0.132
Ge3 0.500 0.000 0.868
Co1 0.000 0.500 0.358
Co2 0.500 0.500 0.000
Co3 0.000 0.000 0.000
Co4 0.500 0.000 0.642
Al1 0.500 0.500 0.500

---

[2]
## Sm2AlCo3Ge4 (GGA-PBE)

Data for crystalline Sm2AlCo3Ge4 at its relaxed geometry.

Values from the calculation:
- M_tot (μB/f.u.) = 0.000
- energy of formation from the pure elements (eV/atom) = -0.5611

Cell lengths 4.088, 4.088, 10.131 Å; angles 90.00, 90.00, 90.00 degrees
Element x y z (fractional)
Co1 0.000 0.500 0.119
Co2 0.500 0.000 0.881
Co3 0.000 0.000 0.500
Ge1 0.000 0.500 0.350
Ge2 0.500 0.500 0.000
Ge3 0.000 0.000 0.000
Ge4 0.500 0.000 0.650
Al1 0.500 0.500 0.500
Sm1 0.000 0.500 0.764
Sm2 0.500 0.000 0.236

---

[3]
## Tb2AlCo3Ge4 (GGA-PBE)

Data for crystalline Tb2AlCo3Ge4 at its relaxed geometry.

Values from the calculation:
- M_tot (μB/f.u.) = 0.002
- energy of formation from the pure elements (eV/atom) = -0.5638

Cell lengths 4.041, 4.041, 10.137 Å; angles 90.00, 90.00, 90.00 degrees
Element x y z (fractional)
Ge1 0.000 0.000 0.000
Ge2 0.500 0.000 0.651
Ge3 0.000 0.500 0.349
Ge4 0.500 0.500 0.000
Tb1 0.500 0.000 0.236
Tb2 0.000 0.500 0.764
Co1 0.000 0.000 0.500
Co2 0.000 0.500 0.121
Co3 0.500 0.000 0.879
Al1 0.500 0.500 0.500

---

[4]
## AlCoTcGe (GGA-PBE)

Data for crystalline AlCoTcGe at its relaxed geometry.

Values from the calculation:
- M_tot (μB/f.u.) = 0.000
- energy of formation from the pure elements (eV/atom) = -0.2531

Cell lengths 4.193, 4.193, 4.193 Å; angles 60.00, 60.00, 60.00 degrees
Element x y z (fractional)
Ge1 0.250 0.250 0.250
Co1 0.500 0.500 0.500
Al1 0.750 0.750 0.750
Tc1 0.000 0.000 0.000

---

[5]
## Th2AlCo4Ge3 (GGA-PBE)

Data for crystalline Th2AlCo4Ge3 at its relaxed geometry.

Values from the calculation:
- M_tot (μB/f.u.) = 0.000
- energy of formation from the pure elements (eV/atom) = -0.5985

Cell lengths 4.065, 4.065, 10.035 Å; angles 90.00, 90.00, 90.00 degrees
Element x y z (fractional)
Ge1 0.000 0.000 0.500
Ge2 0.000 0.500 0.126
Ge3 0.500 0.000 0.874
Co1 0.000 0.500 0.363
Co2 0.000 0.000 0.000
Co3 0.500 0.500 0.000
Co4 0.500 0.000 0.637
Th1 0.000 0.500 0.748
Th2 0.500 0.000 0.252
Al1 0.500 0.500 0.500

---

[6]
## ThAl2Co2Ge (GGA-PBE)

Data for crystalline ThAl2Co2Ge at its relaxed geometry.

Values from the calculation:
- M_tot (μB/f.u.) = 0.958
- energy of formation from the pure elements (eV/atom) = -0.2186

Cell lengths 4.348, 4.348, 5.715 Å; angles 90.00, 90.00, 90.00 degrees
Last column: magnetic moment on the atom in μB.
Element x y z (fractional)
Al1 0.500 0.500 0.750  0.00
Al2 0.500 0.500 0.250  0.00
Co1 0.000 0.500 0.000  0.45
Co2 0.500 0.000 0.000  0.45
Ge1 0.000 0.000 0.000  -0.01
Th1 0.000 0.000 0.500  0.04

---

no.,total energy (eV/f.u.)
1,-63.6
2,-58.6
3,-58.4
4,-26.8
5,-66.8
6,-35.0